Record 1
First-principles (PBE) data for Tl3CrAs after structural relaxation, as listed in Alexandria via LeMat-Bulk.

Results
The crystal system is cubic. Its formation enthalpy at 0 K is 0.795 eV per atom. As for the spin magnetization: 4.964 μB/f.u. As for the offset from the most stable computed form: 142.7 meV per atom. As for the total energy: -17.39 eV per cell.

```
data_Tl3CrAs
_cell_length_a 5.5122
_cell_length_b 5.5122
_cell_length_c 5.5122
_cell_angle_alpha 90.00
_cell_angle_beta 90.00
_cell_angle_gamma 90.00
_symmetry_space_group_name_H-M 'P m -3 m'
_symmetry_Int_Tables_number 221
_symmetry_space_group_name_Hall '-P 4 2 3'
loop_
_atom_site_label
_atom_site_fract_x
_atom_site_fract_y
_atom_site_fract_z
_atom_site_occupancy
Tl1 0.0000 0.0000 0.5000 1
Cr1 0.5000 0.5000 0.5000 1
As1 0.0000 0.0000 0.0000 1
```

Record 2
First-principles (PBE) data for PmSeIO4 after structural relaxation, as listed in Alexandria via LeMat-Bulk.

Results
The crystal system is monoclinic. As for the spin magnetization: 0.000 μB/f.u. As for the total energy: -159.86 eV per cell.

```
data_PmSeIO4
_cell_length_a 10.7929
_cell_length_b 7.2604
_cell_length_c 7.0223
_cell_angle_alpha 90.00
_cell_angle_beta 103.62
_cell_angle_gamma 90.00
_symmetry_space_group_name_H-M 'C 1 2/m 1'
_symmetry_Int_Tables_number 12
_symmetry_space_group_name_Hall '-C 2y'
loop_
_atom_site_label
_atom_site_fract_x
_atom_site_fract_y
_atom_site_fract_z
_atom_site_occupancy
Pm1 0.2444 0.0000 0.1457 1
Se1 0.1343 0.5000 0.2602 1
I1 0.0236 0.0000 0.7531 1
O1 0.0222 0.5000 0.7757 1
O2 0.1865 0.3240 0.1385 1
O3 0.2046 0.5000 0.4964 1
```

Record 3
First-principles (PBE) data for Tm6GeAs3S2 after structural relaxation, as listed in Alexandria via LeMat-Bulk.

Results
The crystal system is monoclinic. As for the spin magnetization: 0.000 μB/f.u. As for the total energy: -145.03 eV per cell.

```
data_Tm6GeAs3S2
_cell_length_a 17.4349
_cell_length_b 4.0074
_cell_length_c 8.0178
_cell_angle_alpha 90.00
_cell_angle_beta 103.15
_cell_angle_gamma 90.00
_symmetry_space_group_name_H-M 'C 1 2/m 1'
_symmetry_Int_Tables_number 12
_symmetry_space_group_name_Hall '-C 2y'
loop_
_atom_site_label
_atom_site_fract_x
_atom_site_fract_y
_atom_site_fract_z
_atom_site_occupancy
Tm1 0.0007 0.0000 0.2482 1
Tm2 0.1654 0.5000 0.0817 1
Tm3 0.1663 0.5000 0.5839 1
Ge1 0.0000 0.5000 0.0000 1
As1 0.0000 0.5000 0.5000 1
As2 0.1684 0.0000 0.8311 1
S1 0.1689 0.0000 0.3380 1
```